Computed, not measured: a geometry-optimized MgPa2Ru3 structure at the PBE-GGA level of DFT.

Lattice parameters (Å, degrees): 4.395 14.090 3.608 90.00 90.00 90.00
Space group Cmmm (No. 65)
Inequivalent atoms, fractional coordinates:
1 Mg 0.000 0.000 0.000 [2 per cell]
2 Pa 0.000 0.346 0.000 [4 per cell]
3 Ru 0.000 0.165 0.500 [4 per cell]
4 Ru 0.000 0.500 0.500 [2 per cell]

Computed properties:
Magnetic moment (μB/f.u.): 0.0
Density of states at the Fermi level (states/eV per cell): 4.75

---

Computed, not measured: a geometry-optimized MgPaRu structure at the PBE-GGA level of DFT.

Lattice parameters (Å, degrees): 10.380 4.992 5.094 90.00 104.34 90.00
Space group C2/m (No. 12)
Inequivalent atoms, fractional coordinates:
1 Mg 0.077 0.000 0.296 [4 per cell]
2 Pa 0.133 0.500 0.808 [4 per cell]
3 Ru 0.184 0.500 0.299 [4 per cell]

Computed properties:
Magnetic moment (μB/f.u.): 0.0
Density of states at the Fermi level (states/eV per cell): 11.75
E above lowest polymorph (eV/f.u.): 0.08

---

We obtain energy relative to the elements values of -254; -76 kJ/mol of formula units for the records listed above, in that order.
We obtain raw total energy values of -8.507; -7.053 eV per atom for the records listed above, in that order.